Record 1
## Dy2ThRh (GGA-PBE)

Data for a relaxed structure of Dy2ThRh.

## Properties
- E_form: -0.45 eV per formula unit
- Calculated density: 9.5 g/cm³
- Distance to the lowest polymorph of the same formula: 393 meV/atom
- Crystal system: trigonal
- M_tot: 0.000 μB per atom

Geometry as POSCAR:
```
Dy2ThRh
1.0
1.773 1.024 10.600
-1.773 1.024 10.600
0.000 -2.047 10.600
Dy Th Rh
2 1 1
direct
0.109 0.109 0.109
0.891 0.891 0.891
0.000 0.000 0.000
0.500 0.500 0.500
```

Record 2
## Ac3Sb5Te12 (GGA-PBE)

Data for a relaxed structure of Ac3Sb5Te12.

## Properties
- E_form (uncorrected): -558 meV per atom
- Calculated density: 5.8 g/cm³
- Crystal system: cubic
- M_tot: 0.000 μB per atom

Geometry as POSCAR:
```
Ac3Sb5Te12
1.0
-9.315 9.315 9.315
9.315 -9.315 9.315
9.315 9.315 -9.315
Ac Sb Te
12 20 48
direct
0.125 0.250 0.375
0.125 0.375 0.750
0.250 0.375 0.125
0.250 0.875 0.625
0.375 0.125 0.250
0.375 0.750 0.125
0.625 0.250 0.875
0.625 0.875 0.750
0.750 0.125 0.375
0.750 0.625 0.875
0.875 0.625 0.250
0.875 0.750 0.625
0.000 0.000 0.000
0.000 0.000 0.500
0.000 0.500 0.000
0.000 0.500 0.500
0.125 0.750 0.875
0.125 0.875 0.250
0.250 0.125 0.875
0.250 0.625 0.375
0.375 0.250 0.625
0.375 0.625 0.750
0.500 0.000 0.000
0.500 0.000 0.500
0.500 0.500 0.000
0.500 0.500 0.500
0.625 0.375 0.250
0.625 0.750 0.375
0.750 0.375 0.625
0.750 0.875 0.125
0.875 0.125 0.750
0.875 0.250 0.125
0.046 0.215 0.132
0.046 0.330 0.914
0.084 0.715 0.670
0.084 0.868 0.414
0.086 0.632 0.416
0.086 0.954 0.670
0.132 0.046 0.215
0.132 0.586 0.916
0.170 0.215 0.584
0.170 0.454 0.586
0.215 0.132 0.046
0.215 0.584 0.170
0.285 0.330 0.916
0.285 0.454 0.368
0.330 0.914 0.046
0.330 0.916 0.285
0.368 0.285 0.454
0.368 0.584 0.914
0.414 0.084 0.868
0.414 0.830 0.546
0.416 0.086 0.632
0.416 0.830 0.785
0.454 0.368 0.285
0.454 0.586 0.170
0.546 0.414 0.830
0.546 0.632 0.715
0.584 0.170 0.215
0.584 0.914 0.368
0.586 0.170 0.454
0.586 0.916 0.132
0.632 0.416 0.086
0.632 0.715 0.546
0.670 0.084 0.715
0.670 0.086 0.954
0.715 0.546 0.632
0.715 0.670 0.084
0.785 0.416 0.830
0.785 0.868 0.954
0.830 0.546 0.414
0.830 0.785 0.416
0.868 0.414 0.084
0.868 0.954 0.785
0.914 0.046 0.330
0.914 0.368 0.584
0.916 0.132 0.586
0.916 0.285 0.330
0.954 0.670 0.086
0.954 0.785 0.868
```

Record 3
## Zn2CrMo (GGA-PBE)

Data for a relaxed structure of Zn2CrMo.

## Properties
- E_form: 0.60 eV per formula unit
- Calculated density: 8.0 g/cm³
- Distance to the lowest polymorph of the same formula: 17 meV/atom
- Crystal system: tetragonal
- M_tot: 0.142 μB per atom

Geometry as POSCAR:
```
Zn2CrMo
1.0
3.125 0.000 0.000
0.000 3.125 0.000
0.000 0.000 5.899
Zn Cr Mo
2 1 1
direct
0.000 0.000 0.000
0.500 0.500 0.241
0.000 0.000 0.518
0.500 0.500 0.709
```